# MnV2Ni2

A relaxed MnV2Ni2 crystal (PBE-GGA, Alexandria via LeMat-Bulk).

Cell: 6.741 6.741 2.772 Å, 90.00 90.00 90.00°
Last column: magnetic moment on the atom in μB.
Atoms (fractional coordinates):
Mn: 0.500 0.500 0.000  2.81
Mn: 0.000 0.000 0.000  2.81
Ni: 0.875 0.625 0.000  -0.01
Ni: 0.375 0.875 0.000  -0.01
Ni: 0.625 0.125 0.000  -0.01
Ni: 0.125 0.375 0.000  -0.01
V: 0.826 0.326 0.500  -0.77
V: 0.674 0.826 0.500  -0.77
V: 0.326 0.174 0.500  -0.77
V: 0.174 0.674 0.500  -0.77

Computed properties:
Fermi-level density of states = 5.38 states/eV/f.u.
Magnetic moment = 2.5 Bohr magnetons per cell
Final energy = -77.72 eV per cell
Volume = 126.0 Å³/cell
Formation energy from the elements = 0.022 eV/atom